[1]
Entry from Alexandria: an optimized crystal structure of PmDyTmIn (GGA-PBE).

Cell: 4.8851 4.8360 4.8673 Å, 90.00 90.00 90.00°
Sites, in units of the cell vectors:
Pm (0.5000, 0.0000, 0.5000)
Dy (0.5000, 0.5000, 0.0000)
Tm (0.0000, 0.5000, 0.5000)
In (0.0000, 0.0000, 0.0000)

Results
Distance to the lowest polymorph of the same formula (meV per atom): 0
Mass density (g cm⁻³): 8.5
Formation energy (kJ per mole of atoms): -25.4

***

[2]
Entry from Alexandria: an optimized crystal structure of PmDy2TmIn4 (GGA-PBE).

Cell: 5.3271 5.3271 9.2614 Å, 73.29 73.29 60.00°
Sites, in units of the cell vectors:
Pm (0.0000, 0.0000, 0.0000)
Dy (0.7507, 0.7507, 0.7479)
Dy (0.2493, 0.2493, 0.2521)
Tm (0.5000, 0.5000, 0.5000)
In (0.3765, 0.3765, 0.8704)
In (0.8735, 0.8735, 0.3794)
In (0.1265, 0.1265, 0.6206)
In (0.6235, 0.6235, 0.1296)

Results
Mass density (g cm⁻³): 8.5
Formation energy (kJ per mole of atoms): -44.4

***

[3]
Entry from Alexandria: an optimized crystal structure of PmDyTmIn (GGA-PBE).

Cell: 5.4704 5.4704 5.4704 Å, 60.00 60.00 60.00°
Sites, in units of the cell vectors:
In (0.0000, 0.0000, 0.0000)
Tm (0.5000, 0.5000, 0.5000)
Pm (0.2500, 0.2500, 0.2500)
Dy (0.7500, 0.7500, 0.7500)

Results
Distance to the lowest polymorph of the same formula (meV per atom): 116
Mass density (g cm⁻³): 8.5
Formation energy (kJ per mole of atoms): -14.2

***

[4]
Entry from Alexandria: an optimized crystal structure of PmDy2Tm5In (GGA-PBE).

Cell: 5.3189 10.3367 10.4151 Å, 90.00 90.00 104.91°
Sites, in units of the cell vectors:
Pm (0.7906, 0.5812, 0.5082)
Pm (0.2094, 0.4188, 0.0082)
Dy (0.8837, 0.7674, 0.7984)
Dy (0.1163, 0.2326, 0.7178)
Dy (0.1163, 0.2326, 0.2984)
Dy (0.8837, 0.7674, 0.2178)
Tm (0.3862, 0.7723, 0.0081)
Tm (0.7099, 0.4198, 0.8069)
Tm (0.5001, 0.0003, 0.7584)
Tm (0.2898, 0.5796, 0.7095)
Tm (0.9892, 0.9785, 0.5081)
Tm (0.6138, 0.2277, 0.5081)
Tm (0.2901, 0.5802, 0.3069)
Tm (0.4999, 0.9997, 0.2584)
Tm (0.7102, 0.4204, 0.2095)
Tm (0.0108, 0.0215, 0.0081)
In (0.5949, 0.1899, 0.0086)
In (0.4051, 0.8101, 0.5086)

Results
Mass density (g cm⁻³): 8.6
Formation energy (kJ per mole of atoms): -0.1

***

[5]
Entry from Alexandria: an optimized crystal structure of Pm6Dy2Tm3In (GGA-PBE).

Cell: 6.1581 6.1581 11.7291 Å, 95.04 95.04 120.08°
Sites, in units of the cell vectors:
Pm (0.9168, 0.5890, 0.7504)
Pm (0.7557, 0.7557, 0.2506)
Pm (0.0832, 0.4110, 0.2496)
Pm (0.5890, 0.9168, 0.7504)
Pm (0.2443, 0.2443, 0.7494)
Pm (0.4110, 0.0832, 0.2496)
Dy (0.3336, 0.6664, 0.0000)
Dy (0.6664, 0.3336, 0.0000)
Tm (0.1674, 0.8326, 0.5000)
Tm (0.8326, 0.1674, 0.5000)
Tm (0.5000, 0.5000, 0.5000)
In (0.0000, 0.0000, 0.0000)

Results
Mass density (g cm⁻³): 8.0
Formation energy (kJ per mole of atoms): -3.7

***

[6]
Entry from Alexandria: an optimized crystal structure of PmDyYIn (GGA-PBE).

Cell: 4.8790 4.8586 4.9329 Å, 90.00 90.00 90.00°
Sites, in units of the cell vectors:
Pm (0.0000, 0.5000, 0.5000)
Dy (0.5000, 0.0000, 0.5000)
Y (0.0000, 0.0000, 0.0000)
In (0.5000, 0.5000, 0.0000)

Results
Distance to the lowest polymorph of the same formula (meV per atom): 0
Mass density (g cm⁻³): 7.3
Formation energy (kJ per mole of atoms): -26.1

***

[7]
Entry from Alexandria: an optimized crystal structure of Pm2Dy6Y3In (GGA-PBE).

Cell: 6.1122 6.1122 11.7326 Å, 94.99 94.99 120.03°
Sites, in units of the cell vectors:
Pm (0.3336, 0.6664, 0.0000)
Pm (0.6664, 0.3336, 0.0000)
Dy (0.9176, 0.5901, 0.7516)
Dy (0.7554, 0.7554, 0.2492)
Dy (0.0824, 0.4099, 0.2484)
Dy (0.5901, 0.9176, 0.7516)
Dy (0.2446, 0.2446, 0.7508)
Dy (0.4099, 0.0824, 0.2484)
Y (0.1666, 0.8334, 0.5000)
Y (0.8334, 0.1666, 0.5000)
Y (0.5000, 0.5000, 0.5000)
In (0.0000, 0.0000, 0.0000)

Results
Mass density (g cm⁻³): 7.3
Formation energy (kJ per mole of atoms): -4.8

***

[8]
Entry from Alexandria: an optimized crystal structure of Pm6Dy3Y2In (GGA-PBE).

Cell: 6.1886 6.1886 11.8067 Å, 95.06 95.06 120.13°
Sites, in units of the cell vectors:
Pm (0.9179, 0.5909, 0.7517)
Pm (0.7558, 0.7558, 0.2499)
Pm (0.0821, 0.4091, 0.2483)
Pm (0.5909, 0.9179, 0.7517)
Pm (0.2442, 0.2442, 0.7501)
Pm (0.4091, 0.0821, 0.2483)
Dy (0.1678, 0.8322, 0.5000)
Dy (0.8322, 0.1678, 0.5000)
Dy (0.5000, 0.5000, 0.5000)
Y (0.3338, 0.6662, 0.0000)
Y (0.6662, 0.3338, 0.0000)
In (0.0000, 0.0000, 0.0000)

Results
Mass density (g cm⁻³): 7.1
Formation energy (kJ per mole of atoms): -3.8